! ZnCoPO2 GGA+U optimized geometry; values from VASP
&SYSTEM
  ibrav = 0, nat = 5, ntyp = 4
/
ATOMIC_SPECIES
Zn 65.41 Zn.upf
Co 58.93 Co.upf
P 30.97 P.upf
O 16.00 O.upf
ATOMIC_POSITIONS angstrom
Zn 0.000 0.000 0.000
Co 1.796 1.796 2.491
P 1.796 1.796 0.000
O 0.000 1.796 2.491
O 1.796 0.000 2.491
CELL_PARAMETERS angstrom
3.593 0.000 0.000
0.000 3.593 0.000
0.000 0.000 4.982
! M_tot (μB per cell): 2.7
! Offset from the most stable computed form (meV per atom): 0
! Space group: P4/mmm, No. 123
! Raw total energy (eV per atom): -4.43